First-principles (PBE-GGA) data for a geometry-optimized Ta3RuCl structure, as listed in the Alexandria database.

```
Ta3RuCl
1.0
4.473 0.000 0.000
0.000 4.473 0.000
0.000 0.000 4.473
Ta Ru Cl
3 1 1
direct
0.000 0.000 0.500
0.000 0.500 0.000
0.500 0.000 0.000
0.500 0.500 0.500
0.000 0.000 0.000
```

Relative energy among the computed polymorphs: 0.0 kJ per mole of atoms
Uncorrected formation energy: 0.986 eV per atom
Calculated volume: 89.5 Å³/f.u.